7
Lattice="4.674 -0.027 -1.632 -2.383 4.120 -1.686 0.016 -0.027 4.951" Properties=species:S:1:pos:R:3 comment="PBE-GGA Zn3Ni3Ge, relaxed" total_magnetization_mub_per_fu=0.00 ef_ev_per_atom=-0.202 sg="R-3m, No. 166" pbc="T T T"
Zn 2.328 0.001 -0.822
Zn 1.145 2.048 0.810
Zn -0.001 0.001 2.469
Ni 2.336 -0.012 1.653
Ni -1.192 2.061 1.626
Ni 1.137 2.061 -1.666
Ge -1.199 2.073 -0.848

8
Lattice="-4.248 -0.602 -5.893 -5.057 -3.401 4.000 2.751 5.965 1.913" Properties=species:S:1:pos:R:3 comment="PBE-GGA CsNa2MoS4, relaxed" raw_formation_energy_ev_per_atom=-0.9158 total_magnetization_mub_per_fu=1.01 sg="I-42m, No. 121" pbc="T T T"
S -3.004 2.100 0.348
S 0.307 3.524 1.022
S -5.348 -1.349 1.093
S -5.060 -0.354 -2.426
Cs 0.000 0.000 0.000
Na -3.481 0.286 2.484
Na -3.077 1.685 -2.463
Mo -1.901 3.963 0.966

11
Lattice="-0.078 -2.469 3.454 6.894 -2.426 -1.579 -0.942 6.044 4.300" Properties=species:S:1:pos:R:3 comment="PBE-GGA LaZn6Au4, relaxed" total_magnetization_mub_per_fu=0.00 ef_ev_per_atom=-0.387 sg="P-6m2, No. 187" pbc="T T T"
Zn 3.280 1.479 1.132
Zn 5.923 0.549 0.526
Zn 3.244 2.135 4.210
Zn 0.646 3.050 4.806
Zn 3.642 -0.838 -0.517
Zn 1.001 0.772 3.185
Au 5.322 -2.005 1.297
Au 1.670 3.220 2.340
Au 2.473 -1.002 1.950
Au 4.933 0.494 3.074
La 0.000 0.000 0.000

4
Lattice="3.698 0.000 0.000 1.849 3.202 0.000 1.849 1.067 8.713" Properties=species:S:1:pos:R:3 comment="PBE-GGA LiCe2Co, relaxed" total_magnetization_mub_per_fu=1.67 ef_ev_per_atom=0.055 sg="R3m, No. 160" pbc="T T T"
Ce 1.849 1.067 7.131
Ce 1.849 1.067 1.577
Li 3.698 2.135 4.381
Co 5.547 3.202 8.694

7
Lattice="-4.466 2.450 1.388 -0.029 -5.186 -0.979 3.017 1.250 7.501" Properties=species:S:1:pos:R:3 comment="PBE-GGA Er2Tm3Ag2, relaxed" total_magnetization_mub_per_fu=0.00 ef_ev_per_atom=-0.113 sg="R-3m, No. 166" pbc="T T T"
Tm 0.032 -2.044 3.711
Tm -1.510 0.558 4.199
Tm -2.233 1.225 0.694
Er -3.330 -1.795 2.495
Er 1.852 0.309 5.415
Ag -0.932 0.027 6.996
Ag -0.546 -1.513 0.915

16
Lattice="-6.460 -4.845 3.148 0.764 -2.000 -8.399 9.388 -4.671 4.722" Properties=species:S:1:pos:R:3 comment="PBE-GGA CsLiErI5, relaxed" raw_formation_energy_ev_per_atom=-1.3730 total_magnetization_mub_per_fu=0.00 sg="C2/c, No. 15" pbc="T T T"
Er 4.694 -2.335 2.361
Er 0.000 0.000 0.000
I 1.072 -8.155 5.904
I -0.680 -5.468 3.273
I 4.180 -4.521 0.346
I 4.371 -6.048 -3.801
I -0.488 -6.994 -0.875
I 2.619 -3.361 -6.432
I -4.670 -5.425 0.787
I 8.362 -6.091 -1.315
I 5.200 -8.938 -0.104
I -1.509 -2.578 -0.425
Cs 0.618 -4.149 -3.234
Cs 3.073 -7.366 2.705
Li -1.897 -5.140 0.786
Li 5.588 -6.376 -1.314

4
Lattice="4.612 0.048 0.000 1.740 4.271 0.000 -3.176 -2.159 2.554" Properties=species:S:1:pos:R:3 comment="PBE-GGA LiNi2Cl, relaxed" raw_formation_energy_ev_per_atom=0.2494 total_magnetization_mub_per_fu=0.09 sg="I-4m2, No. 119" pbc="T T T"
Li 2.306 0.024 1.277
Ni 0.000 0.000 0.000
Ni 0.870 2.136 1.277
Cl 3.176 2.159 0.000

8
Lattice="4.077 0.000 0.000 0.000 3.916 -0.203 -2.039 -1.522 8.480" Properties=species:S:1:pos:R:3 comment="PBE-GGA Ta2Ti3Al3, relaxed" total_magnetization_mub_per_fu=0.00 ef_ev_per_atom=-0.281 sg="Immm, No. 71" pbc="T T T"
Ta 0.000 0.222 4.258
Ta 2.039 2.172 4.019
Ti 0.000 2.290 6.281
Ti 2.039 0.104 1.997
Ti 2.039 1.958 -0.101
Al 0.000 0.000 0.000
Al 2.039 0.328 6.296
Al 0.000 2.066 1.981

4
Lattice="0.000 3.227 3.227 3.227 0.000 3.227 3.227 3.227 0.000" Properties=species:S:1:pos:R:3 comment="PBE-GGA ZrTa2Fe, relaxed" total_magnetization_mub_per_fu=0.00 ef_ev_per_atom=0.179 sg="Fm-3m, No. 225" pbc="T T T"
Ta 4.840 4.840 4.840
Ta 1.613 1.613 1.613
Fe 0.000 0.000 0.000
Zr 3.227 3.227 3.227

4
Lattice="-0.930 -1.777 -2.622 3.088 0.100 -1.163 2.124 -8.371 4.920" Properties=species:S:1:pos:R:3 comment="PBE-GGA LiTlBiSb, relaxed" raw_formation_energy_ev_per_atom=-0.1755 total_magnetization_mub_per_fu=0.00 sg="P4mm, No. 99" pbc="T T T"
Sb 1.847 -3.865 -0.114
Tl 0.170 -0.668 0.393
Bi 2.742 -7.393 1.959
Li 1.190 -4.691 2.757

4
Lattice="-1.618 8.469 3.802 -0.630 7.189 6.058 1.121 8.341 4.238" Properties=species:S:1:pos:R:3 comment="PBE-GGA CdOs2Ru, relaxed" total_magnetization_mub_per_fu=0.00 ef_ev_per_atom=0.299 sg="R3m, No. 160" pbc="T T T"
Cd -0.846 18.017 10.584
Os -1.119 23.832 14.000
Os -0.282 5.995 3.521
Ru -0.571 12.153 7.139